# 1
Here is crystalline SrLiLa2 at its relaxed geometry from Alexandria via LeMat-Bulk. Energies are from PBE.

```
SrLiLa2
1.0
7.0605 -1.8912 0.0000
7.0605 1.8912 0.0000
-2.4816 0.0000 5.3842
Sr Li La
1 1 2
direct
0.0000 0.0000 0.0000
0.5000 0.5000 0.5000
0.2202 0.2202 0.7200
0.7798 0.7798 0.2800
```

The formation energy is 0.0890 eV per atom. The energy above the most stable polymorph in this dataset is 15 meV per atom.



# 2
Here is crystalline Pm3ErTe6 at its relaxed geometry from Alexandria via LeMat-Bulk. Energies are from PBE.

```
Pm3ErTe6
1.0
7.4127 0.0000 0.0000
0.0000 8.2365 0.0000
-7.2121 0.0000 11.2568
Pm Er Te
6 2 12
direct
0.0000 0.0000 0.0000
0.0000 0.5000 0.5000
0.3061 0.1202 0.7539
0.3061 0.3797 0.2539
0.6939 0.6202 0.7461
0.6939 0.8798 0.2461
0.5000 0.0000 0.5000
0.5000 0.5000 0.0000
0.0910 0.0518 0.2556
0.0910 0.4482 0.7556
0.2453 0.6725 0.0805
0.2453 0.8275 0.5805
0.4210 0.1787 0.0783
0.4210 0.3213 0.5783
0.5790 0.6787 0.4217
0.5790 0.8213 0.9217
0.7547 0.1725 0.4195
0.7547 0.3275 0.9195
0.9090 0.5518 0.2444
0.9090 0.9482 0.7444
```

The calculated total energy comes out at -5.149 eV/atom.



# 3
Here is crystalline SmPaCSe at its relaxed geometry from Alexandria via LeMat-Bulk. Energies are from PBE.

```
SmPaCSe
1.0
1.9732 1.1392 13.7977
-1.9732 1.1392 13.7977
0.0000 -2.2784 13.7977
Sm Pa C Se
2 2 2 2
direct
0.2027 0.2027 0.2027
0.7973 0.7973 0.7973
0.3680 0.3680 0.3680
0.6320 0.6320 0.6320
0.3118 0.3118 0.3118
0.6882 0.6882 0.6882
0.0848 0.0848 0.0848
0.9152 0.9152 0.9152
```

The calculated total energy comes out at -7.614 eV/atom.



# 4
Here is crystalline Tl2V2NiSe6 at its relaxed geometry from Alexandria via LeMat-Bulk. Energies are from PBE.

```
Tl2V2NiSe6
1.0
3.0805 -5.5369 0.0000
3.0805 5.5369 0.0000
-2.5070 0.0000 7.7190
Tl V Ni Se
2 2 1 6
direct
0.1599 0.8401 0.0000
0.8401 0.1599 0.0000
0.3116 0.6884 0.5000
0.6884 0.3116 0.5000
0.0000 0.0000 0.5000
0.0899 0.4054 0.6893
0.2629 0.2629 0.3363
0.4054 0.0899 0.6893
0.5946 0.9101 0.3107
0.7371 0.7371 0.6637
0.9101 0.5946 0.3107
```

The calculated total energy comes out at -4.988 eV/atom.



# 5
Here is crystalline ScTe2PdN at its relaxed geometry from Alexandria via LeMat-Bulk. Energies are from PBE.

```
ScTe2PdN
1.0
5.6626 0.0000 0.0000
0.0000 5.6626 0.0000
0.0000 0.0000 3.7927
Sc Te Pd N
1 2 1 1
direct
0.0000 0.0000 0.0000
0.0000 0.5000 0.0000
0.5000 0.0000 0.0000
0.5000 0.5000 0.5000
0.0000 0.0000 0.5000
```

The energy above the most stable polymorph in this dataset is 99 meV per atom.



# 6
Here is crystalline Y2Co2Sn at its relaxed geometry from Alexandria via LeMat-Bulk. Energies are from PBE.

```
Y2Co2Sn
1.0
-1.7128 1.7128 9.0486
1.7128 -1.7128 9.0486
1.7128 1.7128 -9.0486
Y Co Sn
2 2 1
direct
0.1233 0.1233 0.0000
0.8767 0.8767 0.0000
0.2500 0.7500 0.5000
0.7500 0.2500 0.5000
0.5000 0.5000 0.0000
```

The formation energy is -0.1766 eV per atom.



# 7
Here is crystalline AlHSe2 at its relaxed geometry from Alexandria via LeMat-Bulk. Energies are from PBE.

```
AlHSe2
1.0
3.8454 0.0000 0.0000
0.0000 8.7438 0.0000
-3.7225 0.0000 6.3577
Al H Se
2 2 4
direct
0.0000 0.0814 0.0000
0.0000 0.9186 0.5000
0.2963 0.3753 0.0180
0.2963 0.6247 0.5180
0.3957 0.0752 0.3912
0.3957 0.9248 0.8912
0.8567 0.3392 0.9005
0.8567 0.6608 0.4005
```

The energy above the most stable polymorph in this dataset is 24 meV per atom.



# 8
Here is crystalline PuBeRh at its relaxed geometry from Alexandria via LeMat-Bulk. Energies are from PBE.

```
PuBeRh
1.0
3.9339 0.0000 0.0000
-1.9669 3.4068 0.0000
0.0000 0.0000 3.9543
Pu Be Rh
1 1 1
direct
0.0000 0.0000 0.0000
0.3333 0.6667 0.5000
0.6667 0.3333 0.5000
```

The formation energy is -0.3047 eV per atom. The energy above the most stable polymorph in this dataset is 54 meV per atom.